Entry 1:
4
Lattice="0.0000 2.9379 2.9379 2.9379 0.0000 2.9379 2.9379 2.9379 0.0000" Properties=species:S:1:pos:R:3 comment="LiCoTc2 (PBE, relaxed)" dft_energy_ev_per_atom=-7.25 pbc="T T T"
Li 0.0000 0.0000 0.0000
Co 1.4690 1.4690 1.4690
Tc 2.9379 2.9379 2.9379
Tc 4.4069 4.4069 4.4069


Entry 2:
6
Lattice="4.3311 0.0000 0.0000 0.0000 4.3311 0.0000 0.0000 0.0000 6.1149" Properties=species:S:1:pos:R:3 comment="InSnIr4 (PBE, relaxed)" dft_energy_ev_per_atom=-6.48 pbc="T T T"
In 0.0000 0.0000 0.0000
Sn 2.1656 2.1656 3.0574
Ir 0.0000 2.1656 1.5496
Ir 0.0000 2.1656 4.5653
Ir 2.1656 0.0000 1.5496
Ir 2.1656 0.0000 4.5653


Entry 3:
6
Lattice="0.0000 5.9065 5.9065 5.9065 0.0000 5.9065 5.9065 5.9065 0.0000" Properties=species:S:1:pos:R:3 comment="Hf2Au (PBE, relaxed)" dft_energy_ev_per_atom=-5.42 ef_ev_per_atom=2.3022 pbc="T T T"
Hf 0.0000 0.0000 0.0000
Hf 2.9532 2.9532 0.0000
Hf 2.9532 0.0000 2.9532
Hf 0.0000 2.9532 2.9532
Au 1.4766 1.4766 1.4766
Au 10.3363 10.3363 10.3363


Entry 4:
8
Lattice="5.6747 0.0000 0.0000 0.0000 5.6747 0.0000 0.0000 0.0000 4.9332" Properties=species:S:1:pos:R:3 comment="NaHoAsO (PBE, relaxed)" dft_energy_ev_per_atom=-5.04 relative_energy_mev_per_atom=550 pbc="T T T"
Na 1.4187 1.4187 0.0230
Na 4.2560 4.2560 4.9102
Ho 1.4187 4.2560 2.4666
Ho 4.2560 1.4187 2.4666
As 1.4187 1.4187 2.4903
As 4.2560 4.2560 2.4430
O 1.4187 4.2560 0.0000
O 4.2560 1.4187 0.0000


Entry 5:
16
Lattice="5.5975 0.0000 0.0000 0.0000 9.1269 0.0000 0.0000 0.0000 5.7150" Properties=species:S:1:pos:R:3 comment="DyAuSO (PBE, relaxed)" dft_energy_ev_per_atom=-6.12 relative_energy_mev_per_atom=89 pbc="T T T"
Dy 0.0729 1.0465 0.0000
Dy 2.7259 1.0465 2.8575
Dy 2.8716 8.0804 0.0000
Dy 5.5247 8.0804 2.8575
Au 1.2480 5.7958 1.0887
Au 1.5508 5.7958 3.9462
Au 4.0468 3.3311 1.0887
Au 4.3495 3.3311 3.9462
S 0.4838 3.0826 2.3622
S 2.3150 3.0826 5.2197
S 3.2826 6.0443 2.3622
S 5.1137 6.0443 5.2197
O 1.3874 9.0759 4.2614
O 1.4114 9.0759 1.4039
O 4.1861 0.0510 4.2614
O 4.2101 0.0510 1.4039


Entry 6:
6
Lattice="3.6881 0.0000 0.0000 0.0000 3.6901 0.0000 0.0000 0.0000 11.5632" Properties=species:S:1:pos:R:3 comment="ZnCl2 (PBE, relaxed)" dft_energy_ev_per_atom=-2.79 pbc="T T T"
Zn 0.9220 0.9225 2.8877
Zn 2.7661 2.7676 8.6756
Cl 0.9220 2.7676 1.5122
Cl 0.9220 2.7676 7.2997
Cl 2.7661 0.9225 4.2635
Cl 2.7661 0.9225 10.0510


Entry 7:
8
Lattice="4.7419 0.0000 0.0000 0.0000 4.7419 0.0000 0.0000 0.0000 6.6492" Properties=species:S:1:pos:R:3 comment="Na4AlZnCu2 (PBE, relaxed)" dft_energy_ev_per_atom=-2.00 pbc="T T T"
Na 0.0000 0.0000 0.0000
Na 0.0000 2.3710 1.5859
Na 2.3710 0.0000 5.0633
Na 2.3710 2.3710 3.3246
Al 0.0000 0.0000 3.3246
Zn 2.3710 2.3710 0.0000
Cu 0.0000 2.3710 4.8589
Cu 2.3710 0.0000 1.7902


Entry 8:
6
Lattice="4.5245 0.0000 0.0000 -2.2622 3.9183 0.0000 0.0000 0.0000 6.6312" Properties=species:S:1:pos:R:3 comment="PrZnGa4 (PBE, relaxed)" dft_energy_ev_per_atom=-3.39 pbc="T T T"
Pr 0.0000 0.0000 0.0000
Zn 0.0000 0.0000 3.3156
Ga 0.0000 2.6122 1.9209
Ga 0.0000 2.6122 4.7102
Ga 2.2623 1.3061 1.9209
Ga 2.2623 1.3061 4.7102